No. 1
Entry from the Alexandria database: an optimized crystal structure of Ag2HOs2 (PBE).

Cell lengths 3.4532, 3.4532, 7.8138 Å; angles 77.23, 77.23, 90.00 degrees
Closest atoms and distances in Å follow each position.
Fractional coordinates of all 5 atoms:
H  0.0000  0.0000  0.0000  8 Ag 2.79
Os  0.7500  0.2500  0.5000  4 Os 2.44
Os  0.2500  0.7500  0.5000  4 Os 2.44
Ag  0.4090  0.4090  0.1821  1 Ag 2.70, 4 H 2.79, 4 Os 2.92
Ag  0.5910  0.5910  0.8179  1 Ag 2.70, 4 H 2.79, 4 Os 2.92

Values from the calculation:
- N(E_F) (states/eV/f.u.) = 3.045
- relative energy among the computed polymorphs (eV/atom) = 0.000
- total energy (eV per atom) = -5.113
- space-group type = I4/mmm (139)
- crystal system = tetragonal

No. 2
Entry from the Alexandria database: an optimized crystal structure of TaTlAs2 (PBE).

Cell lengths 9.3880, 9.3880, 9.3880 Å; angles 20.78, 20.78, 20.78 degrees
Closest atoms and distances in Å follow each position.
Fractional coordinates of all 4 atoms:
Tl  0.7500  0.7500  0.7500  6 Tl 3.39, 6 As 3.43
As  0.9812  0.9812  0.9812  3 Ta 2.64
As  0.5188  0.5188  0.5188  3 Ta 2.64
Ta  0.2500  0.2500  0.2500  6 As 2.64

Values from the calculation:
- N(E_F) (states/eV/f.u.) = 1.733
- relative energy among the computed polymorphs (eV/atom) = 0.000
- total energy (eV per atom) = -6.020
- space-group type = R-3m (166)
- ΔE_f (meV per atom) = -141
- crystal system = trigonal

No. 3
Entry from the Alexandria database: an optimized crystal structure of NpSeI (PBE).

Cell lengths 7.0954, 4.2703, 4.2703 Å; angles 120.00, 90.00, 90.00 degrees
Closest atoms and distances in Å follow each position.
Fractional coordinates of all 3 atoms:
Np  0.0309  0.0000  0.0000  3 Se 2.82
I  0.7449  0.6667  0.3333  3 Np 3.19
Se  0.2242  0.3333  0.6667  3 Np 2.82

Values from the calculation:
- N(E_F) (states/eV/f.u.) = 11.988
- relative energy among the computed polymorphs (eV/atom) = 0.093
- total energy (eV per atom) = -6.939
- E_form (uncorrected) (meV per atom) = -946.8
- space-group type = P3m1 (156)
- crystal system = trigonal

Which formula does entry 2 have?
TaTlAs2

Among the records above, which one has the highest relative energy among the computed polymorphs?
NpSeI